Record 1
VASP calculation (PBE) on a geometry-optimized CaMg11Rh structure.

Output
* energy of formation from the pure elements: -1.5 eV/f.u.
* DFT total energy: -2.187 eV/atom

Unit cell a=5.706 b=7.694 c=7.787 alpha=82.29 beta=68.51 gamma=68.52
Fractional coordinates of all 13 atoms:
1 Mg 0.000 0.000 0.500
2 Mg 0.969 0.363 0.668
3 Mg 0.637 0.363 0.332
4 Mg 0.510 0.223 0.795
5 Mg 0.490 0.777 0.205
6 Mg 0.000 0.500 0.000
7 Mg 0.500 0.000 0.500
8 Mg 0.363 0.637 0.668
9 Mg 0.305 0.223 0.205
10 Mg 0.031 0.637 0.332
11 Mg 0.695 0.777 0.795
12 Ca 0.000 0.000 0.000
13 Rh 0.500 0.500 0.000

Record 2
VASP calculation (PBE) on a geometry-optimized CsScVI2 structure.

Output
* formation energy without anion corrections: 0.043 eV/atom
* DFT total energy: -3.838 eV/atom

Unit cell a=5.902 b=5.902 c=4.951 alpha=90.00 beta=90.00 gamma=90.00
Fractional coordinates of all 5 atoms:
1 I 0.500 0.000 0.000
2 I 0.000 0.500 0.000
3 Cs 0.500 0.500 0.500
4 Sc 0.000 0.000 0.500
5 V 0.000 0.000 0.000

Record 3
VASP calculation (PBE) on a geometry-optimized BaTiHg structure.

Output
* energy of formation from the pure elements: 0.4 eV/f.u.
* DFT total energy: -3.253 eV/atom

Unit cell a=6.742 b=4.428 c=9.240 alpha=103.48 beta=93.10 gamma=131.08
Fractional coordinates of all 6 atoms:
1 Ti 0.994 0.145 0.874
2 Ti 0.053 0.722 0.991
3 Ba 0.397 0.933 0.678
4 Ba 0.725 0.573 0.336
5 Hg 0.169 0.456 0.223
6 Hg 0.555 0.748 0.995

Question: Which formula does entry 2 have?
Answer: CsScVI2